Compound: TmBeGa
Source: the Alexandria database
Functional: PBE
Structure: relaxed

Energy of formation = -0.420 eV/atom
Energy relative to the lowest polymorph listed for this composition = 0 meV per atom
E_tot = -4.162 eV per atom

abc: 4.130 4.130 7.159
angles: 90.00 90.00 120.00
Positions (direct):
Tm 0.000 0.500 0.000
Tm 0.000 0.500 0.500
Ga 0.666 0.834 0.750
Ga 0.334 0.166 0.250
Be 0.333 0.167 0.750
Be 0.667 0.833 0.250